[1]
A relaxed KHg3Pd crystal. Source: Alexandria, functional PBE.

abc: 9.571 5.338 11.294
angles: 90.00 111.42 90.00
Space group P2_1/c (No. 14)
One atom of each set of equivalent atoms:
K1 0.146 0.000 0.188 x4
Hg1 0.173 0.016 0.505 x4
Hg2 0.244 0.519 0.397 x4
Hg3 0.493 0.725 0.668 x4
Pd1 0.481 0.219 0.576 x4

Summary:
**Formation enthalpy at 0 K**: -0.1873 eV/atom
**Final energy**: -8.13 eV per formula unit
**Offset from the most stable computed form**: 0.0545 eV per atom

***

[2]
A relaxed Ac6Pt2Rh3Cl crystal. Source: Alexandria, functional PBE.

abc: 19.185 4.325 8.868
angles: 90.00 104.76 90.00
Space group C2/m (No. 12)
One atom of each set of equivalent atoms:
Ac1 0.003 0.000 0.228 x4
Ac2 0.167 0.500 0.084 x4
Ac3 0.175 0.500 0.580 x4
Pt1 0.164 0.000 0.826 x4
Rh1 0.000 0.500 0.000 x2
Rh2 0.162 0.000 0.330 x4
Cl1 0.000 0.500 0.500 x2

Summary:
**Energy relative to the elements, uncorrected**: -1.008 eV/atom
**Final energy**: -72.72 eV per formula unit

***

[3]
A relaxed CaMo2PPb crystal. Source: Alexandria, functional PBE.

abc: 5.298 5.298 5.364
angles: 90.00 90.00 90.00
Space group P4/mmm (No. 123)
One atom of each set of equivalent atoms:
Ca1 0.000 0.000 0.000 x1
Mo1 0.000 0.500 0.500 x2
P1 0.500 0.500 0.000 x1
Pb1 0.500 0.500 0.500 x1

Summary:
**Formation enthalpy at 0 K**: 1.6889 eV/atom
**Final energy**: -24.34 eV per formula unit

***

[4]
A relaxed PrSmHoTl crystal. Source: Alexandria, functional PBE.

abc: 4.881 4.918 5.013
angles: 90.00 90.00 90.00
Space group Pmmm (No. 47)
One atom of each set of equivalent atoms:
Pr1 0.000 0.000 0.000 x1
Sm1 0.500 0.500 0.000 x1
Ho1 0.500 0.000 0.500 x1
Tl1 0.000 0.500 0.500 x1

Summary:
**Formation enthalpy at 0 K**: -0.1903 eV/atom
**Final energy**: -17.20 eV per formula unit
**Offset from the most stable computed form**: 0.0000 eV per atom